# GaFeCuNi2 (PBE-GGA, optimized geometry)
# ΔH_f (0 K): 85.94 kJ per mole of atoms
# Density: 6135 kg/m3
# Magnetization: 3.5 μB/cell
data_GaFeCuNi2
_chemical_formula_sum 'Ga1 Fe1 Cu1 Ni2'
_cell_length_a 4.3124
_cell_length_b 4.3124
_cell_length_c 4.4608
_cell_angle_alpha 90.00
_cell_angle_beta 90.00
_cell_angle_gamma 90.00
_symmetry_space_group_name_H-M 'P 4/m m m'
_symmetry_Int_Tables_number 123
_symmetry_space_group_name_Hall '-P 4 2'
loop_
_atom_site_label
_atom_site_type_symbol
_atom_site_fract_x
_atom_site_fract_y
_atom_site_fract_z
_atom_site_occupancy
Ga1 Ga 0.0000 0.0000 0.0000 1
Fe1 Fe 0.0000 0.0000 0.5000 1
Cu1 Cu 0.5000 0.5000 0.0000 1
Ni1 Ni 0.0000 0.5000 0.5000 1

# Cr2RhW (PBE-GGA, optimized geometry)
# ΔH_f (0 K): 9.91 kJ per mole of atoms
# Energy above the lowest structure with this stoichiometry: 0.0601 eV per atom
# Density: 12038 kg/m3
# Magnetization: 0.0 μB/cell
data_Cr2RhW
_chemical_formula_sum 'Cr4 Rh2 W2'
_cell_length_a 2.9568
_cell_length_b 4.3145
_cell_length_c 8.4504
_cell_angle_alpha 90.00
_cell_angle_beta 90.00
_cell_angle_gamma 90.00
_symmetry_space_group_name_H-M 'I m m 2'
_symmetry_Int_Tables_number 44
_symmetry_space_group_name_Hall 'I 2 -2'
loop_
_atom_site_label
_atom_site_type_symbol
_atom_site_fract_x
_atom_site_fract_y
_atom_site_fract_z
_atom_site_occupancy
Cr1 Cr 0.0000 0.0000 0.0000 1
Cr2 Cr 0.0000 0.5000 0.2899 1
Rh1 Rh 0.0000 0.0000 0.5269 1
W1 W 0.0000 0.5000 0.7560 1